Crystalline Er6SiSe2S3 at its relaxed geometry, computed with PBE-GGA.

extended XYZ file:
```
12
Lattice="3.443 -5.961 0.000 3.443 5.961 0.000 -2.293 0.000 6.457" Properties=species:S:1:pos:R:3 pbc="T T T"
Er -0.050 1.903 4.909
Er 1.051 0.000 1.555
Er -0.050 -1.903 4.909
Er 4.642 1.903 1.548
Er 3.541 0.000 4.902
Er 4.642 -1.903 1.548
Si -1.147 0.000 3.228
Se 2.296 1.985 3.228
Se 2.296 -1.985 3.228
S 3.443 3.927 0.000
S 3.443 0.000 0.000
S 3.443 -3.927 0.000
```

Calculated values
volume: 265 Å³/cell
size of the total moment: 0.0 μB/cell
E_tot: -0.223 hartree per atom
uncorrected formation energy: -166.0 kJ per mole of atoms



Crystalline Er4SiSe2S at its relaxed geometry, computed with PBE-GGA.

extended XYZ file:
```
8
Lattice="6.912 0.000 0.000 0.000 4.007 0.000 -2.332 0.000 6.642" Properties=species:S:1:pos:R:3 pbc="T T T"
Er 1.128 0.000 1.546
Er -0.044 2.003 5.116
Er 4.624 2.003 1.527
Er 3.452 0.000 5.096
Si 0.000 2.003 0.000
Se -1.166 0.000 3.321
Se 2.290 2.003 3.321
S 3.456 0.000 0.000
```

Calculated values
volume: 184 Å³/cell
size of the total moment: 0.0 μB/cell
E_tot: -0.219 hartree per atom
uncorrected formation energy: -154.9 kJ per mole of atoms



Crystalline Er6SnSe2S3 at its relaxed geometry, computed with PBE-GGA.

extended XYZ file:
```
12
Lattice="8.790 -1.974 0.000 8.790 1.974 0.000 -1.978 0.000 7.897" Properties=species:S:1:pos:R:3 pbc="T T T"
Er -0.391 0.000 1.828
Er 4.895 0.000 3.414
Er 4.166 0.000 7.155
Er 11.436 0.000 0.742
Er 10.707 0.000 4.483
Er 15.992 0.000 6.070
Sn 7.801 0.000 3.949
Se 1.328 0.000 6.602
Se 14.274 0.000 1.295
S 2.281 0.000 2.587
S 8.790 0.000 0.000
S 13.320 0.000 5.310
```

Calculated values
volume: 274 Å³/cell
size of the total moment: 0.0 μB/cell
E_tot: -0.216 hartree per atom
uncorrected formation energy: -158.8 kJ per mole of atoms



Crystalline Er6SnSe3S2 at its relaxed geometry, computed with PBE-GGA.

extended XYZ file:
```
12
Lattice="8.851 -2.010 0.000 8.851 2.010 0.000 -1.952 0.000 7.910" Properties=species:S:1:pos:R:3 pbc="T T T"
Er -0.376 0.000 2.072
Er 4.950 0.000 3.381
Er 4.086 0.000 7.065
Er 11.664 0.000 0.845
Er 10.801 0.000 4.529
Er 16.127 0.000 5.837
Sn 8.851 0.000 0.000
Se 1.284 0.000 6.583
Se 7.875 0.000 3.955
Se 14.466 0.000 1.326
S 2.324 0.000 2.679
S 13.426 0.000 5.231
```

Calculated values
volume: 281 Å³/cell
size of the total moment: 0.0 μB/cell
E_tot: -0.212 hartree per atom
uncorrected formation energy: -154.4 kJ per mole of atoms



Crystalline SrErSeS at its relaxed geometry, computed with PBE-GGA.

extended XYZ file:
```
4
Lattice="2.012 1.161 7.256 -2.012 1.161 7.256 0.000 -2.323 7.256" Properties=species:S:1:pos:R:3 pbc="T T T"
Sr 0.000 0.000 0.000
Er 0.000 0.000 3.655
Se 0.000 0.000 12.539
S 0.000 0.000 16.561
```

Calculated values
volume: 102 Å³/cell
size of the total moment: 0.0 μB/cell
E_tot: -0.195 hartree per atom
uncorrected formation energy: -176.9 kJ per mole of atoms



Crystalline Tb2Er2Se2S3 at its relaxed geometry, computed with PBE-GGA.

extended XYZ file:
```
9
Lattice="-2.655 2.655 7.320 2.655 -2.655 7.320 2.655 2.655 -7.320" Properties=species:S:1:pos:R:3 pbc="T T T"
Tb 0.000 0.000 2.951
Tb 0.000 0.000 11.689
Er 2.655 0.000 0.000
Er 0.000 2.655 0.000
Se 0.000 0.000 5.816
Se 0.000 0.000 8.824
S 0.000 0.000 0.000
S 2.655 0.000 3.660
S 0.000 2.655 3.660
```

Calculated values
volume: 206 Å³/cell
size of the total moment: 0.0 μB/cell
E_tot: -0.215 hartree per atom
uncorrected formation energy: -161.2 kJ per mole of atoms



Crystalline Er4Te2SeS at its relaxed geometry, computed with PBE-GGA.

extended XYZ file:
```
8
Lattice="7.170 0.000 0.000 0.000 4.079 0.000 -2.347 0.000 6.875" Properties=species:S:1:pos:R:3 pbc="T T T"
Er 1.120 0.000 1.406
Er -0.072 2.040 5.442
Er 4.895 2.040 1.432
Er 3.702 0.000 5.468
Te -1.174 0.000 3.437
Te 2.411 2.040 3.437
Se 3.585 0.000 0.000
S 0.000 2.040 0.000
```

Calculated values
volume: 201 Å³/cell
size of the total moment: 0.0 μB/cell
E_tot: -0.204 hartree per atom
uncorrected formation energy: -148.4 kJ per mole of atoms



Crystalline Er3TeSeS at its relaxed geometry, computed with PBE-GGA.

extended XYZ file:
```
12
Lattice="3.382 -7.161 0.000 3.382 7.161 0.000 -2.115 0.000 6.370" Properties=species:S:1:pos:R:3 pbc="T T T"
Er -0.515 1.036 6.363
Er 1.796 3.658 4.777
Er 0.542 -1.036 3.178
Er 4.106 1.036 3.192
Er 2.853 -3.658 1.592
Er 5.164 -1.036 0.007
Te 2.853 3.561 1.592
Te 1.796 -3.561 4.777
Se 1.796 0.903 4.777
Se 2.853 -0.903 1.592
S 1.796 6.303 4.777
S 2.853 -6.303 1.592
```

Calculated values
volume: 309 Å³/cell
size of the total moment: 0.0 μB/cell
E_tot: -0.203 hartree per atom
uncorrected formation energy: -139.8 kJ per mole of atoms